(1)
K2MoPd | PBE | relaxed

## Properties
**Spin magnetization**: 16.74 μB per cell
**Relative energy among the computed polymorphs**: 0 meV per atom
**Calculated total energy**: -3.50 eV per atom
**Energy of formation**: 1.06 eV/atom

Cell lengths 12.1096, 12.1096, 4.9667 Å; angles 90.00, 90.00, 90.00 degrees
With the nearest neighbours (Å) after each atom.
Space group I-42d (No. 122)
Inequivalent atoms, fractional coordinates:
K 0.0863 0.2500 0.1250  2 Pd 3.26
Mo 0.0000 0.0000 0.5000  2 Pd 2.48
Pd 0.0000 0.0000 0.0000  2 Mo 2.48

(2)
IrS2Br2 | PBE | relaxed

## Properties
**Spin magnetization**: 0.00 μB per cell
**Calculated total energy**: -4.06 eV per atom

Cell lengths 7.9938, 10.6843, 7.6290 Å; angles 90.00, 106.21, 90.00 degrees
With the nearest neighbours (Å) after each atom.
Space group C2/m (No. 12)
Inequivalent atoms, fractional coordinates:
Ir 0.0000 0.1518 0.0000  4 S 2.40, 2 Br 2.43
S 0.0797 0.0000 0.8063  1 S 2.08
S 0.1814 0.0000 0.1952  1 S 2.08
Br 0.0607 0.3128 0.2340  1 Ir 2.43

(3)
PuBeNiH6 | PBE | relaxed

## Properties
**Spin magnetization**: 5.84 μB per cell
**Calculated total energy**: -5.10 eV per atom

Cell lengths 4.1899, 4.1899, 4.3025 Å; angles 90.00, 90.00, 120.00 degrees
With the nearest neighbours (Å) after each atom.
Space group P-6m2 (No. 187)
Inequivalent atoms, fractional coordinates:
Pu 0.0000 0.0000 0.0000  12 H 2.34
Be 0.6667 0.3333 0.5000  6 H 1.62
Ni 0.3333 0.6667 0.5000  6 H 1.64
H 0.5017 0.0033 0.2447  1 Be 1.62, 1 Ni 1.64